No. 1
First-principles (PBE) data for a relaxed Ac3TlSe crystal, as listed in Alexandria via LeMat-Bulk.

Properties
The calculation puts the total energy at -0.3285 Ry/atom. Its uncorrected formation energy is -0.834 eV/atom. As for the space-group type: Pnma. The calculation puts the energy relative to the lowest polymorph listed for this composition at 0.0 meV per atom.

a = 10.087 Å, b = 4.329 Å, c = 17.251 Å
α = 90.00°, β = 90.00°, γ = 90.00°
Sites, in units of the cell vectors:
Ac 0.021 0.250 0.113
Ac 0.156 0.750 0.305
Ac 0.162 0.250 0.539
Ac 0.338 0.750 0.039
Ac 0.344 0.250 0.805
Ac 0.479 0.750 0.613
Ac 0.521 0.250 0.387
Ac 0.656 0.750 0.195
Ac 0.662 0.250 0.961
Ac 0.838 0.750 0.461
Ac 0.844 0.250 0.695
Ac 0.979 0.750 0.887
Tl 0.134 0.750 0.701
Tl 0.366 0.250 0.201
Tl 0.634 0.750 0.799
Tl 0.866 0.250 0.299
Se 0.172 0.250 0.954
Se 0.328 0.750 0.454
Se 0.672 0.250 0.546
Se 0.828 0.750 0.046


No. 2
First-principles (PBE) data for a relaxed BeRe2PSe crystal, as listed in Alexandria via LeMat-Bulk.

Properties
The calculation puts the total energy at -0.3948 Ry/atom. Its uncorrected formation energy is 2.132 eV/atom. As for the space-group type: P4/mmm.

a = 4.581 Å, b = 4.581 Å, c = 4.631 Å
α = 90.00°, β = 90.00°, γ = 90.00°
Sites, in units of the cell vectors:
Be 0.000 0.000 0.000
Re 0.000 0.500 0.500
Re 0.500 0.000 0.500
P 0.500 0.500 0.000
Se 0.500 0.500 0.500


No. 3
First-principles (PBE) data for a relaxed KSc2TaFe crystal, as listed in Alexandria via LeMat-Bulk.

Properties
The formation energy is 2.335 eV/atom. The calculation puts the total energy at -0.3293 Ry/atom. As for the space-group type: P4/mmm. The calculation puts the energy relative to the lowest polymorph listed for this composition at 700.1 meV per atom.

a = 4.569 Å, b = 4.569 Å, c = 4.799 Å
α = 90.00°, β = 90.00°, γ = 90.00°
Sites, in units of the cell vectors:
K 0.000 0.000 0.000
Sc 0.000 0.500 0.000
Sc 0.500 0.000 0.000
Ta 0.000 0.000 0.500
Fe 0.500 0.500 0.500


Q: Number 3 is which compound?
A: KSc2TaFe